Compound: Hf2SnAu
Source: Alexandria via LeMat-Bulk
Functional: PBE
Structure: relaxed

Cell and atoms, written as POSCAR:
```
Hf2SnAu
1.0
-1.7307 -2.6133 0.8592
1.2762 -2.9717 -0.3210
3.3496 -1.3034 8.9301
Hf Sn Au
2 1 1
direct
0.2453 0.2453 0.2642
0.7547 0.7547 0.7358
0.0000 0.0000 0.0000
0.5000 0.5000 0.5000
```

Computed properties:
electronic total energy: -6.982 eV/atom
volume: 21.59 Å³ per atom
theoretical density: 12.93 Mg/m³
energy relative to the elements: -0.185 eV/atom